First-principles (GGA+U) data for a relaxed structure of SrMoO3, as listed in the Alexandria database.

Calculated values
Uncorrected energy ... -70.19 eV for the cell shown

abc: 5.7332 5.7435 5.7448
angles: 90.48 119.22 119.84
Closest atoms and distances in Å follow each position.
Space group P-1 (No. 2)
Unique sites:
Sr (0.0100, 0.2566, 0.2574) [2 per cell]  6 O 2.51-2.77
Mo (0.5000, 0.0000, 0.5000) [1 per cell]  6 O 2.04-2.13
Mo (0.5000, 0.5000, 0.0000) [1 per cell]  6 O 2.04-2.13
O (0.0102, 0.7083, 0.3042) [2 per cell]  2 Mo 2.04-2.13
O (0.4076, 0.1826, 0.1719) [2 per cell]  2 Mo 2.04-2.13
O (0.4973, 0.2794, 0.7177) [2 per cell]  2 Mo 2.04